# BaTcRu2 meta-GGA SCAN PBEsol geometry
data_BaTcRu2
_cell_length_a 4.642
_cell_length_b 4.642
_cell_length_c 4.642
_cell_angle_alpha 60.00
_cell_angle_beta 60.00
_cell_angle_gamma 60.00
_space_group_name_H-M_alt 'P 1'
_space_group_IT_number 1
_space_group_name_Hall 'P 1'
loop_
_atom_site_label
_atom_site_type_symbol
_atom_site_fract_x
_atom_site_fract_y
_atom_site_fract_z
Ba1 Ba 0.000 0.000 0.000
Tc1 Tc 0.500 0.500 0.500
Ru1 Ru 0.250 0.250 0.250
Ru2 Ru 0.750 0.750 0.750
# Excess energy over the best structure of this formula in the dataset (meV per atom): 488
# Magnetization (μB/cell): 2.46
# E (eV/atom): -34.82

---

# BaTc2Ru meta-GGA SCAN PBEsol geometry
data_BaTc2Ru
_cell_length_a 2.927
_cell_length_b 3.454
_cell_length_c 7.701
_cell_angle_alpha 90.00
_cell_angle_beta 91.27
_cell_angle_gamma 90.00
_space_group_name_H-M_alt 'P 1'
_space_group_IT_number 1
_space_group_name_Hall 'P 1'
loop_
_atom_site_label
_atom_site_type_symbol
_atom_site_fract_x
_atom_site_fract_y
_atom_site_fract_z
Ba1 Ba 0.000 0.000 0.000
Tc1 Tc 0.069 0.000 0.497
Tc2 Tc 0.498 0.500 0.661
Ru1 Ru 0.506 0.500 0.324
# Excess energy over the best structure of this formula in the dataset (meV per atom): 0
# Magnetization (μB/cell): 0.00
# E (eV/atom): -35.46

---

# BaTc2Ru meta-GGA SCAN PBEsol geometry
data_BaTc2Ru
_cell_length_a 5.502
_cell_length_b 5.502
_cell_length_c 2.873
_cell_angle_alpha 98.29
_cell_angle_beta 98.29
_cell_angle_gamma 121.73
_space_group_name_H-M_alt 'P 1'
_space_group_IT_number 1
_space_group_name_Hall 'P 1'
loop_
_atom_site_label
_atom_site_type_symbol
_atom_site_fract_x
_atom_site_fract_y
_atom_site_fract_z
Ba1 Ba 0.000 0.000 0.000
Tc1 Tc 0.000 0.500 0.500
Tc2 Tc 0.500 0.000 0.500
Ru1 Ru 0.500 0.500 0.000
# Excess energy over the best structure of this formula in the dataset (meV per atom): 769
# Magnetization (μB/cell): 0.00
# E (eV/atom): -34.69

---

# Ba2TcRu meta-GGA SCAN PBEsol geometry
data_Ba2TcRu
_cell_length_a 5.198
_cell_length_b 5.198
_cell_length_c 5.198
_cell_angle_alpha 60.00
_cell_angle_beta 60.00
_cell_angle_gamma 60.00
_space_group_name_H-M_alt 'P 1'
_space_group_IT_number 1
_space_group_name_Hall 'P 1'
loop_
_atom_site_label
_atom_site_type_symbol
_atom_site_fract_x
_atom_site_fract_y
_atom_site_fract_z
Ba1 Ba 0.250 0.250 0.250
Ba2 Ba 0.750 0.750 0.750
Tc1 Tc 0.000 0.000 0.000
Ru1 Ru 0.500 0.500 0.500
# Magnetization (μB/cell): 3.58
# E (eV/atom): -35.92

---

# BaTc2Ru meta-GGA SCAN PBEsol geometry
data_BaTc2Ru
_cell_length_a 3.004
_cell_length_b 4.843
_cell_length_c 4.861
_cell_angle_alpha 90.00
_cell_angle_beta 90.00
_cell_angle_gamma 90.00
_space_group_name_H-M_alt 'P 1'
_space_group_IT_number 1
_space_group_name_Hall 'P 1'
loop_
_atom_site_label
_atom_site_type_symbol
_atom_site_fract_x
_atom_site_fract_y
_atom_site_fract_z
Ba1 Ba 0.000 0.000 0.000
Tc1 Tc 0.000 0.500 0.500
Tc2 Tc 0.500 0.000 0.500
Ru1 Ru 0.500 0.500 0.000
# Excess energy over the best structure of this formula in the dataset (meV per atom): 801
# Magnetization (μB/cell): 0.00
# E (eV/atom): -34.66

---

# BaTc2Ru meta-GGA SCAN PBEsol geometry
data_BaTc2Ru
_cell_length_a 4.684
_cell_length_b 4.684
_cell_length_c 6.404
_cell_angle_alpha 103.40
_cell_angle_beta 103.40
_cell_angle_gamma 38.45
_space_group_name_H-M_alt 'P 1'
_space_group_IT_number 1
_space_group_name_Hall 'P 1'
loop_
_atom_site_label
_atom_site_type_symbol
_atom_site_fract_x
_atom_site_fract_y
_atom_site_fract_z
Ba1 Ba 0.000 0.000 0.000
Tc1 Tc 0.501 0.501 0.500
Tc2 Tc 0.790 0.790 0.373
Ru1 Ru 0.221 0.221 0.651
# Excess energy over the best structure of this formula in the dataset (meV per atom): 19
# Magnetization (μB/cell): 0.00
# E (eV/atom): -35.44

---

# BaTcRu2 meta-GGA SCAN PBEsol geometry
data_BaTcRu2
_cell_length_a 2.847
_cell_length_b 3.627
_cell_length_c 7.431
_cell_angle_alpha 90.00
_cell_angle_beta 90.00
_cell_angle_gamma 90.00
_space_group_name_H-M_alt 'P 1'
_space_group_IT_number 1
_space_group_name_Hall 'P 1'
loop_
_atom_site_label
_atom_site_type_symbol
_atom_site_fract_x
_atom_site_fract_y
_atom_site_fract_z
Ba1 Ba 0.000 0.000 0.000
Tc1 Tc 0.500 0.500 0.658
Ru1 Ru 0.000 0.000 0.499
Ru2 Ru 0.500 0.500 0.324
# Excess energy over the best structure of this formula in the dataset (meV per atom): 0
# Magnetization (μB/cell): 0.00
# E (eV/atom): -35.31

---

# BaTiTcRu2 meta-GGA SCAN PBEsol geometry
data_BaTiTcRu2
_cell_length_a 4.766
_cell_length_b 4.766
_cell_length_c 4.657
_cell_angle_alpha 90.00
_cell_angle_beta 90.00
_cell_angle_gamma 90.00
_space_group_name_H-M_alt 'P 1'
_space_group_IT_number 1
_space_group_name_Hall 'P 1'
loop_
_atom_site_label
_atom_site_type_symbol
_atom_site_fract_x
_atom_site_fract_y
_atom_site_fract_z
Ba1 Ba 0.000 0.000 0.000
Ti1 Ti 0.500 0.500 0.000
Tc1 Tc 0.500 0.500 0.500
Ru1 Ru 0.000 0.500 0.500
Ru2 Ru 0.500 0.000 0.500
# Magnetization (μB/cell): 0.00
# E (eV/atom): -31.35

---

# BaTl2TcRu meta-GGA SCAN PBEsol geometry
data_BaTl2TcRu
_cell_length_a 5.254
_cell_length_b 5.254
_cell_length_c 4.721
_cell_angle_alpha 90.00
_cell_angle_beta 90.00
_cell_angle_gamma 90.00
_space_group_name_H-M_alt 'P 1'
_space_group_IT_number 1
_space_group_name_Hall 'P 1'
loop_
_atom_site_label
_atom_site_type_symbol
_atom_site_fract_x
_atom_site_fract_y
_atom_site_fract_z
Ba1 Ba 0.000 0.000 0.000
Tl1 Tl 0.000 0.500 0.500
Tl2 Tl 0.500 0.000 0.500
Tc1 Tc 0.500 0.500 0.000
Ru1 Ru 0.500 0.500 0.500
# Magnetization (μB/cell): 1.16
# E (eV/atom): -50.37

---

# BaZnTc2Ru meta-GGA SCAN PBEsol geometry
data_BaZnTc2Ru
_cell_length_a 4.686
_cell_length_b 4.686
_cell_length_c 4.668
_cell_angle_alpha 90.00
_cell_angle_beta 90.00
_cell_angle_gamma 90.00
_space_group_name_H-M_alt 'P 1'
_space_group_IT_number 1
_space_group_name_Hall 'P 1'
loop_
_atom_site_label
_atom_site_type_symbol
_atom_site_fract_x
_atom_site_fract_y
_atom_site_fract_z
Ba1 Ba 0.000 0.000 0.000
Zn1 Zn 0.500 0.500 0.500
Tc1 Tc 0.000 0.500 0.500
Tc2 Tc 0.500 0.000 0.500
Ru1 Ru 0.500 0.500 0.000
# Magnetization (μB/cell): 5.12
# E (eV/atom): -30.17

---

# BaTeRu meta-GGA SCAN PBEsol geometry
data_BaTeRu
_cell_length_a 4.445
_cell_length_b 4.445
_cell_length_c 4.941
_cell_angle_alpha 90.00
_cell_angle_beta 90.00
_cell_angle_gamma 120.00
_space_group_name_H-M_alt 'P 1'
_space_group_IT_number 1
_space_group_name_Hall 'P 1'
loop_
_atom_site_label
_atom_site_type_symbol
_atom_site_fract_x
_atom_site_fract_y
_atom_site_fract_z
Ba1 Ba 0.000 0.000 0.000
Te1 Te 0.667 0.333 0.500
Ru1 Ru 0.333 0.667 0.500
# Magnetization (μB/cell): 0.00
# E (eV/atom): -37.68
# Raw formation energy (eV/atom): -0.472

---

# BaTeRu2 meta-GGA SCAN PBEsol geometry
data_BaTeRu2
_cell_length_a 3.173
_cell_length_b 4.116
_cell_length_c 7.017
_cell_angle_alpha 90.00
_cell_angle_beta 102.04
_cell_angle_gamma 90.00
_space_group_name_H-M_alt 'P 1'
_space_group_IT_number 1
_space_group_name_Hall 'P 1'
loop_
_atom_site_label
_atom_site_type_symbol
_atom_site_fract_x
_atom_site_fract_y
_atom_site_fract_z
Ba1 Ba 0.000 0.000 0.000
Te1 Te 0.500 0.000 0.500
Ru1 Ru 0.296 0.500 0.668
Ru2 Ru 0.704 0.500 0.332
# Magnetization (μB/cell): 0.00
# E (eV/atom): -36.08
# Raw formation energy (eV/atom): 0.533

---

- The highest magnetization belongs to which entry?
  BaZnTc2Ru

---

- Which of these has the lowest E?
  BaTl2TcRu